1.
Compound: TcNiSbPd
Source: OQMD
Functional: PBE-GGA
Structure: relaxed

Properties
Density in g cm⁻³: 10.4
Space group: F-43m, No. 216
Raw total energy in eV per cell: -25.06
ΔE to the lowest computed polymorph in kcal/mol of atoms: 0.00

a = 4.424 Å, b = 4.424 Å, c = 4.424 Å
α = 60.00°, β = 60.00°, γ = 60.00°
Element x y z (fractional)
Tc1 0.000 0.000 0.000
Ni1 0.500 0.500 0.500
Sb1 0.250 0.250 0.250
Pd1 0.750 0.750 0.750

2.
Compound: Y2NiSb2Pd
Source: OQMD
Functional: PBE-GGA
Structure: relaxed

Properties
Density in g cm⁻³: 7.1
Space group: Pm, No. 6
Raw total energy in eV per cell: -151.97

a = 7.959 Å, b = 4.586 Å, c = 15.215 Å
α = 90.00°, β = 99.88°, γ = 90.00°
Element x y z (fractional)
Y1 0.000 0.000 0.000
Y2 0.003 0.500 0.495
Y3 0.243 0.000 0.742
Y4 0.248 0.500 0.245
Y5 0.490 0.000 0.490
Y6 0.500 0.500 0.000
Y7 0.746 0.000 0.243
Y8 0.753 0.500 0.743
Ni1 0.061 0.000 0.185
Ni2 0.061 0.500 0.680
Ni3 0.308 0.500 0.430
Ni4 0.560 0.500 0.184
Sb1 0.123 0.500 0.866
Sb2 0.127 0.000 0.367
Sb3 0.366 0.500 0.616
Sb4 0.374 0.000 0.125
Sb5 0.615 0.500 0.367
Sb6 0.623 0.000 0.870
Sb7 0.876 0.500 0.126
Sb8 0.879 0.000 0.620
Pd1 0.310 0.000 0.934
Pd2 0.560 0.000 0.680
Pd3 0.810 0.000 0.431
Pd4 0.812 0.500 0.934

3.
Compound: ZnNiSbPd
Source: OQMD
Functional: PBE-GGA
Structure: relaxed

Properties
Density in g cm⁻³: 9.3
Space group: F-43m, No. 216
Raw total energy in eV per cell: -17.04

a = 4.457 Å, b = 4.457 Å, c = 4.457 Å
α = 60.00°, β = 60.00°, γ = 60.00°
Element x y z (fractional)
Zn1 0.000 0.000 0.000
Ni1 0.750 0.750 0.750
Sb1 0.500 0.500 0.500
Pd1 0.250 0.250 0.250

4.
Compound: ZrNiSbPd
Source: OQMD
Functional: PBE-GGA
Structure: relaxed

Properties
Density in g cm⁻³: 9.1
Space group: F-43m, No. 216
Raw total energy in eV per cell: -25.36

a = 4.608 Å, b = 4.608 Å, c = 4.608 Å
α = 60.00°, β = 60.00°, γ = 60.00°
Element x y z (fractional)
Zr1 0.000 0.000 0.000
Ni1 0.750 0.750 0.750
Sb1 0.500 0.500 0.500
Pd1 0.250 0.250 0.250

What is the density in the first record?
10.4 g cm⁻³

The highest density belongs to which entry?
TcNiSbPd